P:
DFT (PBE-GGA) results for a relaxed structure of Sr2ZrCr.

Calculated values
Crystal system: orthorhombic
Theoretical density (g/cm3): 4.13

a b c (Å): 3.5604 5.0692 7.0864
angles (deg): 90.00 90.00 90.00
Space group Pmmm (No. 47)
Inequivalent atoms, fractional coordinates:
Sr 0.0000 0.0000 0.2454 x2
Zr 0.5000 0.5000 0.5000 x1
Cr 0.5000 0.5000 0.0000 x1

=====

Q:
DFT (PBE-GGA) results for a relaxed structure of Sr2ZrCr.

Calculated values
Crystal system: tetragonal
Theoretical density (g/cm3): 4.06

a b c (Å): 5.8438 5.8438 3.8124
angles (deg): 90.00 90.00 90.00
Space group P4/mmm (No. 123)
Inequivalent atoms, fractional coordinates:
Sr 0.0000 0.5000 0.0000 x2
Zr 0.0000 0.0000 0.5000 x1
Cr 0.5000 0.5000 0.5000 x1

=====

Structures ranked by computed energy, the most stable listed first: P, Q.

=====

P:
DFT (PBE-GGA) results for a relaxed structure of Sr2ZrCr.

Calculated values
Crystal system: tetragonal
Theoretical density (g/cm3): 4.21

a b c (Å): 4.9634 4.9634 5.0962
angles (deg): 90.00 90.00 90.00
Space group P4/mmm (No. 123)
Inequivalent atoms, fractional coordinates:
Sr 0.0000 0.5000 0.0000 x2
Zr 0.0000 0.0000 0.5000 x1
Cr 0.5000 0.5000 0.5000 x1

=====

Q:
DFT (PBE-GGA) results for a relaxed structure of Sr2ZrCr.

Calculated values
Crystal system: orthorhombic
Theoretical density (g/cm3): 4.36

a b c (Å): 3.8262 5.4147 11.6960
angles (deg): 90.00 90.00 90.00
Space group Immm (No. 71)
Inequivalent atoms, fractional coordinates:
Sr 0.0000 0.0000 0.2135 x4
Zr 0.0000 0.5000 0.0000 x2
Cr 0.0000 0.5000 0.5000 x2

=====

R:
DFT (PBE-GGA) results for a relaxed structure of Sr2ZrCr.

Calculated values
Crystal system: trigonal
Theoretical density (g/cm3): 4.14

a b c (Å): 3.6061 3.6061 34.0559
angles (deg): 90.00 90.00 120.00
Space group R-3m (No. 166, hexagonal axes)
Inequivalent atoms, fractional coordinates:
Sr 0.0000 0.0000 0.2480 x6
Zr 0.0000 0.0000 0.0000 x3
Cr 0.0000 0.0000 0.5000 x3

=====

Structures ranked by computed energy, the most stable listed first: Q, P, R.

=====

P:
DFT (PBE-GGA) results for a relaxed structure of SrZrCr2.

Calculated values
Crystal system: cubic
Theoretical density (g/cm3): 5.32

a b c (Å): 7.0690 7.0690 7.0690
angles (deg): 90.00 90.00 90.00
Space group F-43m (No. 216)
Inequivalent atoms, fractional coordinates:
Sr 0.0000 0.0000 0.0000 x4
Zr 0.2500 0.2500 0.7500 x4
Cr 0.0000 0.0000 0.5000 x4
Cr 0.2500 0.2500 0.2500 x4

=====

Q:
DFT (PBE-GGA) results for a relaxed structure of SrZrCr2.

Calculated values
Crystal system: trigonal
Theoretical density (g/cm3): 5.33

a b c (Å): 3.2687 3.2687 28.5551
angles (deg): 90.00 90.00 120.00
Space group R3m (No. 160, hexagonal axes)
Inequivalent atoms, fractional coordinates:
Sr 0.0000 0.0000 0.0000 x3
Zr 0.0000 0.0000 0.2239 x3
Cr 0.0000 0.0000 0.4836 x3
Cr 0.0000 0.0000 0.7634 x3

=====

R:
DFT (PBE-GGA) results for a relaxed structure of SrZrCr2.

Calculated values
Crystal system: cubic
Theoretical density (g/cm3): 5.26

a b c (Å): 7.0930 7.0930 7.0930
angles (deg): 90.00 90.00 90.00
Space group Fm-3m (No. 225)
Inequivalent atoms, fractional coordinates:
Sr 0.0000 0.0000 0.0000 x4
Zr 0.0000 0.0000 0.5000 x4
Cr 0.2500 0.2500 0.2500 x8

=====

S:
DFT (PBE-GGA) results for a relaxed structure of SrZrCr2.

Calculated values
Crystal system: orthorhombic
Theoretical density (g/cm3): 5.06

a b c (Å): 3.3514 4.6183 12.0040
angles (deg): 90.00 90.00 90.00
Space group Imm2 (No. 44)
Inequivalent atoms, fractional coordinates:
Sr 0.0000 0.0000 0.0000 x2
Zr 0.0000 0.5000 0.7689 x2
Cr 0.0000 0.0000 0.6310 x2
Cr 0.0000 0.5000 0.2521 x2

=====

Structures ranked by computed energy, the most stable listed first: S, R, Q, P.

=====

P:
DFT (PBE-GGA) results for a relaxed structure of SrZrCr2.

Calculated values
Crystal system: tetragonal
Theoretical density (g/cm3): 5.10

a b c (Å): 4.3027 4.3027 9.9446
angles (deg): 90.00 90.00 90.00
Space group I-4m2 (No. 119)
Inequivalent atoms, fractional coordinates:
Sr 0.0000 0.0000 0.0000 x2
Zr 0.0000 0.5000 0.7500 x2
Cr 0.0000 0.0000 0.5000 x2
Cr 0.0000 0.5000 0.2500 x2

=====

Q:
DFT (PBE-GGA) results for a relaxed structure of SrZrCr2.

Calculated values
Crystal system: trigonal
Theoretical density (g/cm3): 5.02

a b c (Å): 3.3306 3.3306 29.2179
angles (deg): 90.00 90.00 120.00
Space group R-3m (No. 166, hexagonal axes)
Inequivalent atoms, fractional coordinates:
Sr 0.0000 0.0000 0.0000 x3
Zr 0.0000 0.0000 0.5000 x3
Cr 0.0000 0.0000 0.2396 x6

=====

Structures ranked by computed energy, the most stable listed first: Q, P.

=====

P:
DFT (PBE-GGA) results for a relaxed structure of Sr3ZrCr.

Calculated values
Crystal system: cubic
Theoretical density (g/cm3): 3.10

a b c (Å): 6.0155 6.0155 6.0155
angles (deg): 90.00 90.00 90.00
Space group Pm-3m (No. 221)
Inequivalent atoms, fractional coordinates:
Sr 0.0000 0.0000 0.5000 x3
Zr 0.0000 0.0000 0.0000 x1
Cr 0.5000 0.5000 0.5000 x1

=====

Q:
DFT (PBE-GGA) results for a relaxed structure of Sr3ZrCr.

Calculated values
Crystal system: cubic
Theoretical density (g/cm3): 3.20

a b c (Å): 5.9504 5.9504 5.9504
angles (deg): 90.00 90.00 90.00
Space group Pm-3m (No. 221)
Inequivalent atoms, fractional coordinates:
Sr 0.0000 0.0000 0.5000 x3
Zr 0.5000 0.5000 0.5000 x1
Cr 0.0000 0.0000 0.0000 x1

=====

Structures ranked by computed energy, the most stable listed first: Q, P.

=====

P:
DFT (PBE-GGA) results for a relaxed structure of TaCr2.

Calculated values
Crystal system: tetragonal
Theoretical density (g/cm3): 8.82

a b c (Å): 4.1650 4.1650 3.0930
angles (deg): 90.00 90.00 90.00
Space group P4/mmm (No. 123)
Inequivalent atoms, fractional coordinates:
Ta 0.0000 0.0000 0.0000 x1
Cr 0.0000 0.5000 0.5000 x2

=====

Q:
DFT (PBE-GGA) results for a relaxed structure of TaCr2.

Calculated values
Crystal system: trigonal
Theoretical density (g/cm3): 11.33

a b c (Å): 4.1962 4.1962 2.7375
angles (deg): 90.00 90.00 120.00
Space group P-3m1 (No. 164)
Inequivalent atoms, fractional coordinates:
Ta 0.0000 0.0000 0.0000 x1
Cr 0.3333 0.6667 0.6537 x2

=====

R:
DFT (PBE-GGA) results for a relaxed structure of TaCr2.

Calculated values
Crystal system: monoclinic
Theoretical density (g/cm3): 11.37

a b c (Å): 9.6145 3.0100 6.1075
angles (deg): 90.00 109.64 90.00
Space group C2/m (No. 12)
Inequivalent atoms, fractional coordinates:
Ta 0.1639 0.0000 0.0949 x4
Cr 0.0012 0.5000 0.2696 x4
Cr 0.1590 0.0000 0.5733 x4

=====

S:
DFT (PBE-GGA) results for a relaxed structure of TaCr2.

Calculated values
Crystal system: hexagonal
Theoretical density (g/cm3): 11.34

a b c (Å): 4.9010 4.9010 16.0422
angles (deg): 90.00 90.00 120.00
Space group P6_3/mmc (No. 194)
Inequivalent atoms, fractional coordinates:
Ta 0.0000 0.0000 0.0947 x4
Ta 0.3333 0.6667 0.1559 x4
Cr 0.0000 0.5000 0.0000 x6
Cr 0.1634 0.3268 0.7500 x6
Cr 0.3333 0.6667 0.6246 x4

=====

Structures ranked by computed energy, the most stable listed first: S, R, Q, P.